Entry 1:
Crystalline PaInSiO6 at its relaxed geometry, computed with PBE-GGA.

Lattice parameters (Å, degrees): 5.2709 5.2709 4.5977 90.00 90.00 120.00
With the nearest neighbours (Å) after each atom.
Fractional positions:
1 Pa 0.0000 0.0000 0.0000  6 O 2.17
2 In 0.6667 0.3333 0.5000  6 O 2.25
3 Si 0.3333 0.6667 0.0000  6 O 1.83
4 O 0.0419 0.3818 0.2238  1 Si 1.83
5 O 0.0419 0.6601 0.7762  1 Si 1.83
6 O 0.3399 0.3818 0.7762  1 Si 1.83
7 O 0.3399 0.9581 0.2238  1 Si 1.83
8 O 0.6182 0.6601 0.2238  1 Si 1.83
9 O 0.6182 0.9581 0.7762  1 Si 1.83

Output
* SG: P312, No. 149
* spin magnetization: 0.0 Bohr magnetons per cell
* ΔE_f (raw): -22.49 eV per formula unit
* VASP energy: -7.766 eV/atom

***

Entry 2:
Crystalline PaInSnO at its relaxed geometry, computed with PBE-GGA.

Lattice parameters (Å, degrees): 4.0962 4.0962 10.6991 90.00 90.00 90.00
With the nearest neighbours (Å) after each atom.
Fractional positions:
1 Pa 0.2500 0.2500 0.1118  4 O 2.37
2 Pa 0.7500 0.7500 0.8882  4 O 2.37
3 In 0.2500 0.7500 0.5000  4 In 2.90
4 In 0.7500 0.2500 0.5000  4 In 2.90
5 Sn 0.2500 0.2500 0.7392  4 In 3.28, 4 Pa 3.31, 4 O 3.46
6 Sn 0.7500 0.7500 0.2608  4 In 3.28, 4 Pa 3.31, 4 O 3.46
7 O 0.2500 0.7500 0.0000  4 Pa 2.37
8 O 0.7500 0.2500 0.0000  4 Pa 2.37

Output
* SG: P4/nmm, No. 129
* spin magnetization: 0.0 Bohr magnetons per cell
* ΔE_f (raw): -4.90 eV per formula unit
* VASP energy: -6.524 eV/atom

***

Entry 3:
Crystalline PaInSnO6 at its relaxed geometry, computed with PBE-GGA.

Lattice parameters (Å, degrees): 5.4405 5.4405 9.6470 90.00 90.00 120.00
With the nearest neighbours (Å) after each atom.
Fractional positions:
1 Pa 0.0000 0.0000 0.0000  6 O 2.21
2 Pa 0.0000 0.0000 0.5000  6 O 2.21
3 In 0.3333 0.6667 0.2500  6 O 2.20
4 In 0.6667 0.3333 0.7500  6 O 2.20
5 Sn 0.3333 0.6667 0.7500  6 O 2.10
6 Sn 0.6667 0.3333 0.2500  6 O 2.10
7 O 0.0142 0.3413 0.6303  1 Sn 2.10, 1 In 2.20, 1 Pa 2.21
8 O 0.0142 0.6729 0.8697  1 Sn 2.10, 1 In 2.20, 1 Pa 2.21
9 O 0.3271 0.3413 0.8697  1 Sn 2.10, 1 In 2.20, 1 Pa 2.21
10 O 0.3271 0.9858 0.6303  1 Sn 2.10, 1 In 2.20, 1 Pa 2.21
11 O 0.3413 0.0142 0.1303  1 Sn 2.10, 1 In 2.20, 1 Pa 2.21
12 O 0.3413 0.3271 0.3697  1 Sn 2.10, 1 In 2.20, 1 Pa 2.21
13 O 0.6587 0.6729 0.6303  1 Sn 2.10, 1 In 2.20, 1 Pa 2.21
14 O 0.6587 0.9858 0.8697  1 Sn 2.10, 1 In 2.20, 1 Pa 2.21
15 O 0.6729 0.0142 0.3697  1 Sn 2.10, 1 In 2.20, 1 Pa 2.21
16 O 0.6729 0.6587 0.1303  1 Sn 2.10, 1 In 2.20, 1 Pa 2.21
17 O 0.9858 0.3271 0.1303  1 Sn 2.10, 1 In 2.20, 1 Pa 2.21
18 O 0.9858 0.6587 0.3697  1 Sn 2.10, 1 In 2.20, 1 Pa 2.21

Output
* SG: P-31c, No. 163
* spin magnetization: 0.0 Bohr magnetons per cell
* ΔE_f (raw): -20.99 eV per formula unit
* VASP energy: -7.442 eV/atom

***

Entry 4:
Crystalline SrPa2InO8 at its relaxed geometry, computed with PBE-GGA.

Lattice parameters (Å, degrees): 5.1410 7.2135 5.1492 90.00 92.20 90.00
With the nearest neighbours (Å) after each atom.
Fractional positions:
1 Sr 0.0000 0.0000 0.0000  6 O 2.44-2.49
2 Pa 0.5000 0.2531 0.5000  6 O 2.10-2.26
3 Pa 0.5000 0.7469 0.5000  6 O 2.10-2.26
4 In 0.0000 0.5000 0.0000  6 O 2.19-2.32
5 O 0.2066 0.2770 0.2080  1 Pa 2.10, 1 In 2.19
6 O 0.2066 0.7230 0.2080  1 Pa 2.10, 1 In 2.19
7 O 0.3134 0.5000 0.6874  2 Pa 2.26, 1 In 2.32
8 O 0.3295 0.0000 0.6718  2 Pa 2.22, 1 Sr 2.44
9 O 0.6705 0.0000 0.3282  2 Pa 2.22, 1 Sr 2.44
10 O 0.6866 0.5000 0.3126  2 Pa 2.26, 1 In 2.32
11 O 0.7934 0.2770 0.7920  1 Pa 2.10, 1 In 2.19
12 O 0.7934 0.7230 0.7920  1 Pa 2.10, 1 In 2.19

Output
* SG: P2/m, No. 10
* spin magnetization: 0.5 Bohr magnetons per cell
* ΔE_f (raw): -34.06 eV per formula unit
* VASP energy: -8.095 eV/atom